Entry 1:
The following is a PBE calculation of crystalline TbSi4Ni3 at its relaxed geometry, from OQMD.

Geometry as extended XYZ:
```
8
Lattice="3.916 0.000 0.000 0.000 3.959 0.000 -0.263 0.000 7.381" Properties=species:S:1:pos:R:3 pbc="T T T"
Tb 0.000 0.000 0.000
Si -0.025 1.979 2.432
Si 1.629 1.979 6.256
Si 1.999 0.000 2.315
Si 2.027 0.000 4.849
Ni 0.083 0.000 3.577
Ni 1.944 1.979 1.161
Ni 3.542 1.979 5.004
```

Output
Its uncorrected energy is -5.98 eV per atom.

=====

Entry 2:
The following is a PBE calculation of crystalline RbCdW at its relaxed geometry, from OQMD.

Geometry as extended XYZ:
```
12
Lattice="7.550 0.000 0.000 0.000 7.550 0.000 0.000 0.000 7.550" Properties=species:S:1:pos:R:3 pbc="T T T"
Rb 0.000 0.000 0.000
Rb 0.000 3.775 3.775
Rb 3.775 0.000 3.775
Rb 3.775 3.775 0.000
Cd 1.888 1.888 1.888
Cd 1.888 5.663 5.663
Cd 5.663 1.888 5.663
Cd 5.663 5.663 1.888
W 0.000 0.000 3.775
W 0.000 3.775 0.000
W 3.775 0.000 0.000
W 3.775 3.775 3.775
```

Output
The offset from the most stable computed form is 0.00 eV per formula unit.

=====

Entry 3:
The following is a PBE calculation of crystalline CuBi2 at its relaxed geometry, from OQMD.

Geometry as extended XYZ:
```
6
Lattice="0.000 5.772 5.772 5.772 0.000 5.772 5.772 5.772 0.000" Properties=species:S:1:pos:R:3 pbc="T T T"
Cu 1.443 1.443 1.443
Cu 10.101 10.101 10.101
Bi 0.000 0.000 0.000
Bi 2.886 2.886 0.000
Bi 2.886 0.000 2.886
Bi 0.000 2.886 2.886
```

Output
Its uncorrected energy is -2.95 eV per atom.

=====

Entry 4:
The following is a PBE calculation of crystalline Ho4N3O at its relaxed geometry, from OQMD.

Geometry as extended XYZ:
```
8
Lattice="4.827 0.000 0.000 0.000 4.827 0.000 0.000 0.000 4.827" Properties=species:S:1:pos:R:3 pbc="T T T"
Ho 0.000 0.000 0.000
Ho 0.000 2.413 2.413
Ho 2.413 0.000 2.413
Ho 2.413 2.413 0.000
N 0.000 0.000 2.413
N 0.000 2.413 0.000
N 2.413 0.000 0.000
O 2.413 2.413 2.413
```

Output
Its uncorrected energy is -8.12 eV per atom.

=====

Calculated ρ (g cm⁻³), listed in the same order as above: 6.49, 5.89, 4.16, 10.60